Record 1
A plane-wave DFT calculation with PBE-GGA was carried out for crystalline Be2Ni2Pt at its relaxed geometry.

Output
Formation energy from the elements (eV per atom): -0.35
E above lowest polymorph (meV per atom): 53

Cell lengths 2.6756, 15.0918, 2.6875 Å; angles 90.00, 90.00, 90.00 degrees
Space group Cmmm (No. 65)
One atom of each set of equivalent atoms:
Be1 0.0000 0.1021 0.0000
Ni1 0.0000 0.3172 0.5000
Pt1 0.0000 0.5000 0.5000

***

Record 2
A plane-wave DFT calculation with PBE-GGA was carried out for crystalline BeNiPt2 at its relaxed geometry.

Output
Formation energy from the elements (eV per atom): -0.16

Cell lengths 2.8061, 4.1402, 4.5651 Å; angles 90.00, 90.00, 90.00 degrees
Space group Pmmm (No. 47)
One atom of each set of equivalent atoms:
Be1 0.0000 0.0000 0.0000
Ni1 0.5000 0.0000 0.5000
Pt1 0.0000 0.5000 0.5000
Pt2 0.5000 0.5000 0.0000

***

Record 3
A plane-wave DFT calculation with PBE-GGA was carried out for crystalline Be2Ni2Pt at its relaxed geometry.

Output
Formation energy from the elements (eV per atom): -0.09
E above lowest polymorph (meV per atom): 319

Cell lengths 3.8148, 3.8148, 7.5377 Å; angles 90.00, 90.00, 90.00 degrees
Space group I4/mmm (No. 139)
One atom of each set of equivalent atoms:
Be1 0.0000 0.5000 0.2500
Ni1 0.0000 0.0000 0.1436
Pt1 0.0000 0.0000 0.5000